No. 1
A relaxed Na3Bi2Sb2 crystal. Source: Alexandria, functional PBE-GGA.

M_tot = 0.000 μB/cell
Formation energy from raw total energies = -0.18 eV per atom
Crystal system = orthorhombic
Raw total energy = -21.24 eV per formula unit

```
Na3Bi2Sb2
1.0
-5.0276 2.6264 0.4951
-1.4971 -2.5532 -1.6590
1.5200 -5.1524 10.0275
Na Bi Sb
3 2 2
Direct
0.0000 0.0000 0.0000 Na
0.7054 0.2054 0.4108 Na
0.2946 0.7946 0.5892 Na
0.1421 0.6421 0.2843 Bi
0.8579 0.3579 0.7157 Bi
0.5737 0.5737 0.1475 Sb
0.4263 0.4263 0.8525 Sb
```

No. 2
A relaxed LiYIn2Cl6 crystal. Source: Alexandria, functional PBE-GGA.

M_tot = 0.000 μB/cell
Formation energy from raw total energies = -1.61 eV per atom
Crystal system = monoclinic
Raw total energy = -40.99 eV per formula unit

```
LiYIn2Cl6
1.0
-5.6349 3.5553 2.8361
-4.2640 -2.2729 -5.6227
-2.6334 -8.3877 5.3877
Li Y In Cl
2 2 4 12
Direct
0.5000 0.0000 0.0000 Li
0.0000 0.5000 0.5000 Li
0.5000 0.0000 0.5000 Y
0.0000 0.5000 0.0000 Y
0.0116 0.9423 0.2533 In
0.5116 0.5577 0.7533 In
0.9884 0.0577 0.7467 In
0.4884 0.4423 0.2467 In
0.2942 0.7076 0.0349 Cl
0.7942 0.7924 0.5349 Cl
0.7058 0.2924 0.9651 Cl
0.2058 0.2076 0.4651 Cl
0.2928 0.7090 0.4645 Cl
0.7928 0.7910 0.9645 Cl
0.7072 0.2910 0.5355 Cl
0.2072 0.2090 0.0355 Cl
0.9293 0.5133 0.2524 Cl
0.4293 0.9867 0.7524 Cl
0.0707 0.4867 0.7476 Cl
0.5707 0.0133 0.2476 Cl
```

No. 3
A relaxed Th3Sc2Au9 crystal. Source: Alexandria, functional PBE-GGA.

M_tot = 0.000 μB/cell
Crystal system = orthorhombic
Raw total energy = -73.56 eV per formula unit
DFT formation energy = -882 kJ/mol of formula units

```
Th3Sc2Au9
1.0
-2.6115 -2.5274 -1.6290
0.9344 5.4606 -9.9700
6.0119 -5.6484 3.9939
Th Sc Au
3 2 9
Direct
0.0000 0.0000 0.0000 Th
0.2897 0.2897 0.5793 Th
0.7103 0.7103 0.4207 Th
0.5000 0.3095 0.0000 Sc
0.5000 0.6905 0.0000 Sc
0.0000 0.5000 0.0000 Au
0.3588 0.9829 0.7177 Au
0.6412 0.0171 0.2823 Au
0.3588 0.7348 0.7177 Au
0.6412 0.2652 0.2823 Au
0.1510 0.8503 0.3019 Au
0.8490 0.1497 0.6981 Au
0.1510 0.4516 0.3019 Au
0.8490 0.5484 0.6981 Au
```

No. 4
A relaxed Cr4Ga2C crystal. Source: Alexandria, functional PBE-GGA.

M_tot = 4.850 μB/cell
Crystal system = tetragonal
Raw total energy = -52.95 eV per formula unit
DFT formation energy = 79 kJ/mol of formula units

```
Cr4Ga2C
1.0
-1.6131 3.2780 1.0771
-2.8997 -1.9323 1.5381
0.8955 0.3887 6.8926
Cr C Ga
4 1 2
Direct
0.1591 0.1591 0.6819 Cr
0.8409 0.8409 0.3181 Cr
0.0000 0.5000 0.0000 Cr
0.5000 0.0000 0.0000 Cr
0.0000 0.0000 0.0000 C
0.3591 0.3591 0.2819 Ga
0.6409 0.6409 0.7181 Ga
```

No. 5
A relaxed BePbSe2 crystal. Source: Alexandria, functional PBE-GGA.

Distance to the lowest polymorph of the same formula = 352 meV/atom
M_tot = 0.000 μB/cell
Formation energy from raw total energies = -0.17 eV per atom
Crystal system = tetragonal
Raw total energy = -15.10 eV per formula unit

```
BePbSe2
1.0
3.6558 0.0000 0.0000
0.0000 3.6558 0.0000
0.0000 0.0000 7.3575
Pb Be Se
1 1 2
Direct
0.5000 0.5000 0.8133 Pb
0.0000 0.0000 0.3047 Be
0.0000 0.0000 0.0024 Se
0.5000 0.5000 0.3796 Se
```

No. 6
A relaxed AlFe2Mo crystal. Source: Alexandria, functional PBE-GGA.

M_tot = 4.068 μB/cell
Crystal system = monoclinic
Raw total energy = -31.37 eV per formula unit
DFT formation energy = 12 kJ/mol of formula units

```
AlFe2Mo
1.0
4.5071 0.0226 -0.0443
3.7235 2.5397 -0.0443
0.5697 0.1774 4.7166
Mo Fe Al
1 2 1
Direct
0.2500 0.2500 0.2500 Mo
0.0051 0.0051 0.9976 Fe
0.4949 0.4949 0.5024 Fe
0.7500 0.7500 0.7500 Al
```

No. 7
A relaxed NaYSn2Te crystal. Source: Alexandria, functional PBE-GGA.

M_tot = 0.000 μB/cell
Formation energy from raw total energies = 0.18 eV per atom
Crystal system = tetragonal
Raw total energy = -18.03 eV per formula unit

```
NaYSn2Te
1.0
5.9834 0.0000 0.0000
0.0000 5.6332 0.0000
0.0000 0.0000 5.9834
Y Na Te Sn
1 1 1 2
Direct
0.0000 0.5000 0.0000 Y
0.5000 0.5000 0.5000 Na
0.0000 0.0000 0.0000 Te
0.0000 0.0000 0.5000 Sn
0.5000 0.0000 0.0000 Sn
```

No. 8
A relaxed SmDy2HoP4 crystal. Source: Alexandria, functional PBE-GGA.

M_tot = 0.000 μB/cell
Crystal system = monoclinic
Raw total energy = -52.94 eV per formula unit
DFT formation energy = -1235 kJ/mol of formula units

```
SmDy2HoP4
1.0
4.0291 0.0000 0.0000
0.0000 6.9738 0.1218
0.0000 -2.4388 6.5352
Sm Dy Ho P
1 2 1 4
Direct
0.5000 0.5000 0.0000 Sm
0.5000 0.0000 0.5000 Dy
0.0000 0.5000 0.5000 Dy
0.0000 0.0000 0.0000 Ho
0.5000 0.2471 0.2512 P
0.5000 0.7529 0.7488 P
0.0000 0.2455 0.7463 P
0.0000 0.7545 0.2537 P
```

No. 9
A relaxed TbIn3Br7 crystal. Source: Alexandria, functional PBE-GGA.

M_tot = 0.000 μB/cell
Formation energy from raw total energies = -1.06 eV per atom
Crystal system = monoclinic
Raw total energy = -36.27 eV per formula unit

```
TbIn3Br7
1.0
-3.1184 -1.5414 -6.7570
2.0298 -7.3191 0.2601
-6.4030 -3.6180 1.7186
Tb In Br
1 3 7
Direct
0.9819 0.9819 0.0331 Tb
0.7687 0.2136 0.5181 In
0.5202 0.5202 0.9516 In
0.2136 0.7687 0.5181 In
0.8372 0.8372 0.7813 Br
0.9370 0.3292 0.8064 Br
0.6380 0.0266 0.2578 Br
0.3292 0.9370 0.8064 Br
0.4859 0.4859 0.5540 Br
0.0266 0.6380 0.2578 Br
0.1368 0.1368 0.2655 Br
```

No. 10
A relaxed Sr3CaRh crystal. Source: Alexandria, functional PBE-GGA.

Distance to the lowest polymorph of the same formula = 15 meV/atom
M_tot = 0.000 μB/cell
Crystal system = monoclinic
Raw total energy = -15.32 eV per formula unit
DFT formation energy = -89 kJ/mol of formula units

```
Sr3CaRh
1.0
8.8788 0.0000 0.0000
-4.4394 6.9036 -0.5873
0.0000 -1.1777 13.7699
Sr Ca Rh
12 4 4
Direct
0.6227 0.7740 0.8631 Sr
0.8487 0.2260 0.6369 Sr
0.3773 0.2260 0.1369 Sr
0.1513 0.7740 0.3631 Sr
0.3914 0.2739 0.6137 Sr
0.1175 0.7261 0.8863 Sr
0.6086 0.7261 0.3863 Sr
0.8825 0.2739 0.1137 Sr
0.1590 0.2403 0.8746 Sr
0.9187 0.7597 0.6254 Sr
0.0813 0.2403 0.3746 Sr
0.8410 0.7597 0.1254 Sr
0.5869 0.2608 0.8761 Ca
0.3262 0.7392 0.6239 Ca
0.4131 0.7392 0.1239 Ca
0.6738 0.2608 0.3761 Ca
0.0000 0.5000 0.5000 Rh
0.5000 0.5000 0.0000 Rh
0.7280 0.0000 0.2500 Rh
0.2720 0.0000 0.7500 Rh
```

No. 11
A relaxed AcNpRu crystal. Source: Alexandria, functional PBE-GGA.

M_tot = 0.000 μB/cell
Crystal system = monoclinic
Raw total energy = -26.18 eV per formula unit
DFT formation energy = 14 kJ/mol of formula units

```
AcNpRu
1.0
-2.4675 -0.6712 -2.3639
0.6524 -3.2748 -0.9886
-8.0958 -5.4853 7.9811
Ac Ru Np
2 2 2
Direct
0.2902 0.2902 0.6500 Ac
0.7098 0.7098 0.3500 Ac
0.7438 0.7438 0.8104 Ru
0.2562 0.2562 0.1896 Ru
0.2055 0.2055 0.9483 Np
0.7945 0.7945 0.0517 Np
```

No. 12
A relaxed Cu3PF12 crystal. Source: Alexandria, functional PBE-GGA.

M_tot = 0.000 μB/cell
Formation energy from raw total energies = -1.84 eV per atom
Crystal system = cubic
Raw total energy = -69.66 eV per formula unit

```
Cu3PF12
1.0
-2.7691 -5.5775 -2.1485
-0.7847 0.4701 6.5235
-2.8738 5.1503 -2.9341
Cu P F
3 1 12
Direct
0.5000 0.0000 0.5000 Cu
0.5000 0.5000 0.0000 Cu
0.0000 0.5000 0.5000 Cu
0.0000 0.0000 0.0000 P
0.5000 0.2500 0.7500 F
0.7863 0.0000 0.7863 F
0.7863 0.7863 0.0000 F
0.2137 0.2137 0.0000 F
0.0000 0.7863 0.7863 F
0.2137 0.0000 0.2137 F
0.0000 0.2137 0.2137 F
0.5000 0.7500 0.2500 F
0.7500 0.2500 0.5000 F
0.2500 0.7500 0.5000 F
0.7500 0.5000 0.2500 F
0.2500 0.5000 0.7500 F
```